1.
A plane-wave DFT calculation with PBE was carried out for a geometry-optimized KCaCd2 structure.

a = 3.9183 Å, b = 3.9183 Å, c = 9.1961 Å
α = 90.00°, β = 90.00°, γ = 90.00°
Fractional coordinates of all 4 atoms:
K 0.0000 0.0000 0.0000
Ca 0.5000 0.5000 0.3797
Cd 0.0000 0.0000 0.5748
Cd 0.5000 0.5000 0.7385

## Properties
**E_form**: -73 meV per atom
**Excess energy over the best structure of this formula in the dataset**: 0.071 eV/atom
**E**: -5.2 eV per cell
**Size of the total moment**: 0.0 μB/f.u.
**V**: 141.19 Å³/f.u.
**Fermi-level density of states**: 2.51 states/eV/f.u.

2.
A plane-wave DFT calculation with PBE was carried out for a geometry-optimized Sc2CoHIr structure.

a = 4.5049 Å, b = 4.5049 Å, c = 3.2924 Å
α = 90.00°, β = 90.00°, γ = 90.00°
Fractional coordinates of all 5 atoms:
Sc 0.0000 0.5000 0.0000
Sc 0.5000 0.0000 0.0000
Co 0.0000 0.0000 0.5000
H 0.0000 0.0000 0.0000
Ir 0.5000 0.5000 0.5000

## Properties
**E**: -35.4 eV per cell
**Size of the total moment**: 0.5 μB/f.u.
**V**: 66.82 Å³/f.u.
**Fermi-level density of states**: 1.22 states/eV/f.u.